Record 1
! Y2Nb2SiGe | OQMD | PBE | relaxed; values from VASP
! Final energy, eV per cell: -47.1
! Total moment, μB per cell: 1.161
! Space group: P4mm, No. 99
! Density, g/cm³: 6.08
&SYSTEM
  ibrav = 0, nat = 6, ntyp = 4
/
ATOMIC_SPECIES
Y 88.91 Y.upf
Nb 92.91 Nb.upf
Si 28.09 Si.upf
Ge 72.64 Ge.upf
CELL_PARAMETERS angstrom
-2.120 2.504 2.321
-2.594 -2.958 0.822
4.335 -2.078 6.202
ATOMIC_POSITIONS crystal
Y 0.000 0.000 0.352
Nb 0.000 0.500 0.003
Nb 0.500 0.000 0.003
Y 0.500 0.500 0.646
Si 0.500 0.500 0.239
Ge 0.000 0.000 0.757

Record 2
! SmNbGe | OQMD | PBE | relaxed; values from VASP
! Final energy, eV per cell: -16.8
! Total moment, μB per cell: 3.733
! Space group: F-43m, No. 216
! Density, g/cm³: 6.33
&SYSTEM
  ibrav = 0, nat = 3, ntyp = 3
/
ATOMIC_SPECIES
Sm 150.36 Sm.upf
Ge 72.64 Ge.upf
Nb 92.91 Nb.upf
CELL_PARAMETERS angstrom
0.000 3.461 3.461
3.461 0.000 3.461
3.461 3.461 0.000
ATOMIC_POSITIONS crystal
Sm 0.000 0.000 0.000
Ge 0.250 0.250 0.250
Nb 0.750 0.750 0.750